An optimized crystal structure of Sm2MgS3. Source: the Alexandria database, functional GGA-PBE.

## Properties
- E_form (uncorrected) (meV/atom) = -1762
- D(E_F) (states/eV/atom) = 0.304

```
data_Sm2MgS3
_chemical_formula_sum 'Sm8 Mg4 S12'
_space_group_name_H-M_alt 'F m m 2'
_space_group_IT_number 42
_space_group_name_Hall 'F 2 -2'
_cell_length_a 5.550
_cell_length_b 16.770
_cell_length_c 5.551
_cell_angle_alpha 90.00
_cell_angle_beta 90.00
_cell_angle_gamma 90.00
loop_
_atom_site_label
_atom_site_type_symbol
_atom_site_fract_x
_atom_site_fract_y
_atom_site_fract_z
Sm1 Sm 0.000 0.172 0.000
Mg1 Mg 0.000 0.000 0.496
S1 S 0.000 0.000 0.000
S2 S 0.000 0.155 0.500
```

---

An optimized crystal structure of Mg2In. Source: the Alexandria database, functional GGA-PBE.

## Properties
- energy of formation from the pure elements (eV/atom) = 0.059
- D(E_F) (states/eV/atom) = 0.299

```
data_Mg2In
_chemical_formula_sum 'Mg8 In4'
_space_group_name_H-M_alt 'I m m a'
_space_group_IT_number 74
_space_group_name_Hall '-I 2b 2'
_cell_length_a 3.217
_cell_length_b 4.563
_cell_length_c 20.936
_cell_angle_alpha 90.00
_cell_angle_beta 90.00
_cell_angle_gamma 90.00
loop_
_atom_site_label
_atom_site_type_symbol
_atom_site_fract_x
_atom_site_fract_y
_atom_site_fract_z
Mg1 Mg 0.000 0.250 0.043
Mg2 Mg 0.000 0.250 0.188
In1 In 0.000 0.250 0.610
```

---

An optimized crystal structure of SnIrN2O. Source: the Alexandria database, functional GGA-PBE.

## Properties
- E_form (uncorrected) (meV/atom) = 1573
- D(E_F) (states/eV/atom) = 1.079

```
data_SnIrN2O
_chemical_formula_sum 'Sn1 Ir1 N2 O1'
_space_group_name_H-M_alt 'P 4/m m m'
_space_group_IT_number 123
_space_group_name_Hall '-P 4 2'
_cell_length_a 4.119
_cell_length_b 4.119
_cell_length_c 3.934
_cell_angle_alpha 90.00
_cell_angle_beta 90.00
_cell_angle_gamma 90.00
loop_
_atom_site_label
_atom_site_type_symbol
_atom_site_fract_x
_atom_site_fract_y
_atom_site_fract_z
Sn1 Sn 0.000 0.000 0.000
Ir1 Ir 0.500 0.500 0.500
N1 N 0.000 0.500 0.000
O1 O 0.000 0.000 0.500
```

---

An optimized crystal structure of In3SbS6. Source: the Alexandria database, functional GGA-PBE.

## Properties
- E_form (uncorrected) (meV/atom) = -454
- polymorph energy (0 for the lowest one) (kJ/mol of atoms) = 0.00
- D(E_F) (states/eV/atom) = 0.000

```
data_In3SbS6
_chemical_formula_sum 'In6 Sb2 S12'
_space_group_name_H-M_alt 'P 1 21/m 1'
_space_group_IT_number 11
_space_group_name_Hall '-P 2yb'
_cell_length_a 10.862
_cell_length_b 3.893
_cell_length_c 12.970
_cell_angle_alpha 90.00
_cell_angle_beta 112.54
_cell_angle_gamma 90.00
loop_
_atom_site_label
_atom_site_type_symbol
_atom_site_fract_x
_atom_site_fract_y
_atom_site_fract_z
In1 In 0.010 0.250 0.121
In2 In 0.245 0.250 0.731
In3 In 0.384 0.750 0.533
Sb1 Sb 0.411 0.250 0.092
S1 S 0.031 0.250 0.764
S2 S 0.156 0.750 0.080
S3 S 0.189 0.750 0.589
S4 S 0.359 0.250 0.401
S5 S 0.360 0.750 0.917
S6 S 0.491 0.250 0.757
```

---

Question: The lowest D(E_F) belongs to which entry?
Answer: In3SbS6

---

Question: Which of these has the lowest D(E_F)?
Answer: In3SbS6

---

Question: The lowest D(E_F) belongs to which entry?
Answer: In3SbS6